# 1
Density functional theory data (PBE-GGA) for a relaxed structure of SiAsSe2.

Output
Calculated volume ... 83 Å³/cell
Space-group type ... C2/m
D(E_F) ... 2.6 states/eV/cell
Density ... 5.21 g/cm3
Spin magnetization ... 0.000 μB/atom
Crystal system ... monoclinic
ΔE to the lowest computed polymorph ... 170 meV per atom

Cell: 6.1400 6.1400 2.8031 Å, 62.56 62.56 77.73°
Element x y z (fractional)
1 Se 0.0000 0.0000 0.0000
2 Se 0.5000 0.5000 0.0000
3 As 0.0000 0.5000 0.5000
4 Si 0.5000 0.0000 0.5000

# 2
Density functional theory data (PBE-GGA) for a relaxed structure of SiAs2Se.

Output
Calculated volume ... 83 Å³/cell
Space-group type ... P4mm
D(E_F) ... 0.8 states/eV/cell
Density ... 5.12 g/cm3
Spin magnetization ... 0.000 μB/atom
Crystal system ... tetragonal
ΔE to the lowest computed polymorph ... 181 meV per atom

Cell: 3.8553 3.8554 5.6106 Å, 90.00 90.00 90.00°
Element x y z (fractional)
1 Si 0.5000 0.5000 0.6520
2 As 0.0000 0.0000 0.1488
3 As 0.5000 0.5000 0.0972
4 Se 0.0000 0.0000 0.6020

ΔE_f (raw)? In order: 0.163, 0.124 eV per atom.